# 1
Below is a relaxed structure of ZrBeGa2Cl, with properties calculated at the PBE-GGA level.

Properties
Formation energy (no corrections) = 0.603 eV/atom
Density of states at the Fermi level = 3.90 states/eV/f.u.
Final energy = -17.16 eV/f.u.

Cell and atoms, written as POSCAR:
```
ZrBeGa2Cl
1.0
-1.8964 0.2354 5.0808
3.0875 -3.5618 1.3174
3.7608 3.7155 1.2316
Be Ga Zr Cl
1 2 1 1
direct
0.5000 0.5000 0.5000
0.0000 0.0000 0.5000
0.5000 0.0000 0.0000
0.0000 0.0000 0.0000
0.0000 0.5000 0.0000
```

# 2
Below is a relaxed structure of InGaSb2, with properties calculated at the PBE-GGA level.

Properties
Formation energy (no corrections) = -0.117 eV/atom
Density of states at the Fermi level = 0.35 states/eV/f.u.
Energy above the lowest structure with this stoichiometry = 0.021 eV per atom
Final energy = -14.48 eV/f.u.

Cell and atoms, written as POSCAR:
```
InGaSb2
1.0
7.8732 0.0065 0.0040
6.5576 4.3571 0.0040
6.5576 1.9829 3.8798
Sb Ga In
2 1 1
direct
0.1205 0.1205 0.1205
0.6292 0.6292 0.6292
0.9997 0.9997 0.9997
0.5005 0.5005 0.5005
```

# 3
Below is a relaxed structure of PmNdPt2, with properties calculated at the PBE-GGA level.

Properties
Density of states at the Fermi level = 4.25 states/eV/f.u.
Energy above the lowest structure with this stoichiometry = 0.107 eV per atom
Final energy = -25.83 eV/f.u.

Cell and atoms, written as POSCAR:
```
PmNdPt2
1.0
-3.7440 -3.4203 -0.4414
-0.6574 -3.5334 3.6047
-4.0396 0.2355 3.0882
Nd Pt Pm
1 2 1
direct
0.5000 0.5000 0.5000
0.2500 0.2500 0.2500
0.7500 0.7500 0.7500
0.0000 0.0000 0.0000
```

# 4
Below is a relaxed structure of BiP2PbS, with properties calculated at the PBE-GGA level.

Properties
Formation energy (no corrections) = 0.791 eV/atom
Density of states at the Fermi level = 5.77 states/eV/f.u.
Energy above the lowest structure with this stoichiometry = 0.000 eV per atom
Final energy = -18.58 eV/f.u.

Cell and atoms, written as POSCAR:
```
BiP2PbS
1.0
5.2391 0.0000 0.0000
0.0000 5.2391 0.0000
0.0000 0.0000 5.2849
Pb P S Bi
1 2 1 1
direct
0.5000 0.5000 0.5000
0.0000 0.5000 0.0000
0.5000 0.0000 0.0000
0.0000 0.0000 0.5000
0.0000 0.0000 0.0000
```

# 5
Below is a relaxed structure of K3Sc3TiSe8, with properties calculated at the PBE-GGA level.

Properties
Formation energy (no corrections) = -1.514 eV/atom
Final energy = -80.77 eV/f.u.

Cell and atoms, written as POSCAR:
```
K3Sc3TiSe8
1.0
-0.7772 -7.7571 -0.3061
5.2676 3.2077 4.7747
-8.5976 0.7587 2.5985
K Sc Ti Se
3 3 1 8
direct
0.0000 0.0000 0.0000
0.0000 0.5000 0.0000
0.5000 0.5000 0.0000
0.5000 0.0000 0.5000
0.5000 0.5000 0.5000
0.0000 0.5000 0.5000
0.0000 0.0000 0.5000
0.2681 0.5361 0.3044
0.7319 0.4639 0.6956
0.7761 0.5522 0.3107
0.2239 0.4478 0.6893
0.7762 0.0344 0.3108
0.2238 0.9656 0.6892
0.2582 0.0344 0.3108
0.7418 0.9656 0.6892
```

# 6
Below is a relaxed structure of La7Nd2Tl2, with properties calculated at the PBE-GGA level.

Properties
Density of states at the Fermi level = 15.47 states/eV/f.u.
Final energy = -47.62 eV/f.u.

Cell and atoms, written as POSCAR:
```
La7Nd2Tl2
1.0
-5.2154 4.5203 -1.5656
0.4198 -2.6623 -8.8682
-1.5011 -6.6533 1.8880
La Nd Tl
7 2 2
direct
0.0013 0.3079 0.5015
0.5015 0.6921 0.0013
0.9987 0.6921 0.4985
0.4985 0.3079 0.9987
0.0000 0.0000 0.0000
0.4992 0.8137 0.5008
0.5008 0.1863 0.4992
0.7667 0.5000 0.7667
0.2333 0.5000 0.2333
0.7314 0.0004 0.2686
0.2686 0.9996 0.7314
```

Number 1: V 144 Å³ per cell. Number 2: V 133 Å³ per cell. Number 3: V 93 Å³ per cell. Number 4: V 145 Å³ per cell. Number 5: V 411 Å³ per cell. Number 6: V 401 Å³ per cell.